(1)
Below is a relaxed In3ReAu crystal, with properties calculated at the GGA-PBE level.

As for the energy above the most stable polymorph in this dataset: 524 meV/atom.

It has space group Pm-3m (No. 221), with a = 5.221 Å, b = 5.221 Å, c = 5.221 Å, α = 90.00°, β = 90.00° and γ = 90.00°. The distinct sites, in fractional coordinates, are In at (0.000, 0.000, 0.500), Re at (0.500, 0.500, 0.500) and Au at (0.000, 0.000, 0.000).



(2)
Below is a relaxed Tb2Zn crystal, with properties calculated at the GGA-PBE level.

It has space group P4/mmm (No. 123), with a = 3.580 Å, b = 3.580 Å, c = 12.186 Å, α = 90.00°, β = 90.00° and γ = 90.00°. The distinct sites, in fractional coordinates, are Tb at (0.000, 0.000, 0.000), Tb at (0.000, 0.000, 0.291), Tb at (0.500, 0.500, 0.500) and Zn at (0.500, 0.500, 0.145).



| no. | energy of formation (eV/atom) | M_tot (μB/f.u.) | N(E_F) (states/eV/f.u.) |
| --- | --- | --- | --- |
| 1 | 1.21 | 3.509 | 2.677 |
| 2 | -0.22 | 0.000 | 2.902 |